Material: TiCuAsAu2
Method: DFT, PBE
State: optimized geometry

Lattice parameters (Å, degrees): 4.713 4.611 4.713 90.00 90.00 90.00
Atoms (fractional coordinates):
As  0.500  0.500  0.500
Au  0.000  0.000  0.500
Au  0.500  0.000  0.000
Cu  0.000  0.000  0.000
Ti  0.000  0.500  0.000

The calculated total energy comes out at -4.061 eV/atom. The crystal system is tetragonal. The value obtained for the formation energy is 0.58 eV/atom. For the density of states at the Fermi level, the calculation gives 5.421 states/eV/f.u.


Material: SbPbI2O
Method: DFT, PBE
State: optimized geometry

Lattice parameters (Å, degrees): 6.267 6.267 4.102 90.00 90.00 90.00
Atoms (fractional coordinates):
Pb  0.500  0.500  0.500
I  0.000  0.500  0.000
I  0.500  0.000  0.000
O  0.000  0.000  0.500
Sb  0.000  0.000  0.000

The calculated total energy comes out at -3.477 eV/atom. Its energy relative to the lowest polymorph listed for this composition is 0 meV per atom. For the uncorrected formation energy, the calculation gives -0.299 eV per atom. The crystal system is tetragonal. For the density of states at the Fermi level, the calculation gives 2.982 states/eV/f.u.


Material: Sr4AcTl5
Method: DFT, PBE
State: optimized geometry

Lattice parameters (Å, degrees): 4.106 4.106 20.541 90.00 90.00 90.00
Atoms (fractional coordinates):
Sr  0.000  0.000  0.203
Sr  0.000  0.000  0.401
Sr  0.000  0.000  0.599
Sr  0.000  0.000  0.797
Ac  0.000  0.000  0.000
Tl  0.500  0.500  0.102
Tl  0.500  0.500  0.302
Tl  0.500  0.500  0.500
Tl  0.500  0.500  0.698
Tl  0.500  0.500  0.898

The calculated total energy comes out at -2.682 eV/atom. The crystal system is tetragonal. The value obtained for the formation energy is -0.41 eV/atom. For the density of states at the Fermi level, the calculation gives 7.464 states/eV/f.u.